DFT (PBE with a Hubbard U) results for an optimized crystal structure of Ac2GeMoO6.

Values from the calculation:
As for the density of states at the Fermi level: 0.417 states/eV/f.u. The raw total energy is -7.286 eV per atom.

The structure in POSCAR format:
```
Ac2GeMoO6
1.0
-2.1024 3.6029 -0.7725
-2.9259 -0.6309 5.0207
4.1491 3.0208 2.7975
Ac Ge Mo O
2 1 1 6
Cartesian
-1.6157 -0.0536 2.4542
1.9218 1.7723 1.3426
-1.3051 2.2367 -0.4795
-0.7280 3.4907 3.4169
-1.1390 3.0496 1.3844
0.9798 4.5922 2.8130
0.3149 1.7034 3.8001
-0.3487 0.5976 -0.1281
-0.5143 4.2700 5.3770
-2.6332 2.7274 3.9483
```